Material: Rb2CrTeS4
Method: DFT, PBE
State: relaxed

CIF file:
```
data_Rb2CrTeS4
_space_group_name_H-M_alt 'P 1'
_space_group_IT_number 1
_space_group_name_Hall 'P 1'
_cell_length_a 7.821
_cell_length_b 7.821
_cell_length_c 7.592
_cell_angle_alpha 107.43
_cell_angle_beta 107.43
_cell_angle_gamma 88.49
loop_
_atom_site_label
_atom_site_type_symbol
_atom_site_fract_x
_atom_site_fract_y
_atom_site_fract_z
_atom_site_occupancy
Rb1 Rb 0.500 0.000 0.000 1
Rb2 Rb 0.000 0.000 0.500 1
Rb3 Rb 0.500 0.000 0.500 1
Rb4 Rb 0.500 0.500 0.000 1
Te1 Te 0.500 0.500 0.500 1
Te2 Te 0.000 0.000 0.000 1
S1 S 0.815 0.363 0.656 1
S2 S 0.137 0.685 0.844 1
S3 S 0.248 0.327 0.562 1
S4 S 0.827 0.748 0.062 1
S5 S 0.173 0.252 0.938 1
S6 S 0.863 0.315 0.156 1
S7 S 0.752 0.673 0.438 1
S8 S 0.185 0.637 0.344 1
Cr1 Cr 0.000 0.500 0.000 1
Cr2 Cr 0.000 0.500 0.500 1
```

Results
Electronic total energy: -4.452 eV per atom
Formation energy (no corrections): -550 meV/atom
Total magnetization: 1.97 μB/f.u.
N(E_F): 2.89 states/eV/f.u.
Calculated density: 3.8 Mg/m³